1.
CaPdS: relaxed, PBE-GGA.

a b c (Å): 4.6758 5.7695 4.6777
angles (deg): 90.00 106.88 90.00
Positions (direct):
Ca1 0.1551 0.2500 0.3439
Ca2 0.8449 0.7500 0.6561
Pd1 0.5000 0.0000 0.0000
Pd2 0.5000 0.5000 0.0000
S1 0.2456 0.7500 0.2553
S2 0.7544 0.2500 0.7447

Computed properties:
Symmetry: P2_1/m (11)
N(E_F) in states/eV/f.u.: 0.00
E_tot in eV per atom: -4.983

=====

2.
CaPdS: relaxed, PBE-GGA.

a b c (Å): 3.9467 3.9467 8.1903
angles (deg): 103.87 103.87 90.01
Positions (direct):
Ca1 0.1255 0.8745 0.5000
Ca2 0.8745 0.1255 0.0000
Pd1 0.4618 0.7084 0.1736
Pd2 0.7084 0.4618 0.6736
S1 0.3049 0.5600 0.8636
S2 0.5600 0.3049 0.3636

Computed properties:
Symmetry: Cc (9)
N(E_F) in states/eV/f.u.: 0.00
E_tot in eV per atom: -4.943

=====

3.
CaPdS3: relaxed, PBE-GGA.

a b c (Å): 5.2340 5.2340 5.2340
angles (deg): 90.00 90.00 90.00
Positions (direct):
Ca1 0.0000 0.0000 0.0000
Pd1 0.5000 0.5000 0.5000
S1 0.0000 0.0000 0.5000
S2 0.0000 0.5000 0.0000
S3 0.5000 0.0000 0.0000

Computed properties:
Symmetry: Pm-3m (221)
N(E_F) in states/eV/f.u.: 4.75
E_tot in eV per atom: -3.382

=====

4.
CaPdS: relaxed, PBE-GGA.

a b c (Å): 3.8124 4.2117 4.2117
angles (deg): 60.24 90.00 90.00
Positions (direct):
Ca1 0.0000 0.0000 0.0000
Pd1 0.5000 0.6671 0.6671
S1 0.5000 0.3323 0.3323

Computed properties:
Symmetry: Amm2 (38)
N(E_F) in states/eV/f.u.: 0.15
E_tot in eV per atom: -4.966

=====

5.
CaSc2PdS: relaxed, PBE-GGA.

a b c (Å): 4.8869 4.8869 4.8140
angles (deg): 90.00 90.00 90.00
Positions (direct):
Ca1 0.0000 0.0000 0.0000
Sc1 0.0000 0.5000 0.5000
Sc2 0.5000 0.0000 0.5000
Pd1 0.5000 0.5000 0.0000
S1 0.5000 0.5000 0.5000

Computed properties:
Symmetry: P4/mmm (123)
N(E_F) in states/eV/f.u.: 4.57
E_tot in eV per atom: -5.386

=====

6.
CaUPdS3: relaxed, PBE-GGA.

a b c (Å): 7.9888 3.8873 8.6308
angles (deg): 90.00 104.40 90.00
Positions (direct):
Ca1 0.1926 0.2500 0.2363
Ca2 0.8074 0.7500 0.7637
U1 0.3219 0.7500 0.8271
U2 0.6781 0.2500 0.1729
Pd1 0.1203 0.2500 0.5622
Pd2 0.8797 0.7500 0.4378
S1 0.0903 0.2500 0.8566
S2 0.2754 0.7500 0.5143
S3 0.4264 0.7500 0.1543
S4 0.5736 0.2500 0.8457
S5 0.7246 0.2500 0.4857
S6 0.9097 0.7500 0.1434

Computed properties:
Symmetry: P2_1/m (11)
N(E_F) in states/eV/f.u.: 4.91
E_tot in eV per atom: -6.499

=====

7.
CaZnPd2S: relaxed, PBE-GGA.

a b c (Å): 4.9393 4.9393 5.2660
angles (deg): 90.00 90.00 90.00
Positions (direct):
Ca1 0.0000 0.0000 0.0000
Zn1 0.0000 0.0000 0.5000
Pd1 0.0000 0.5000 0.0000
Pd2 0.5000 0.0000 0.0000
S1 0.5000 0.5000 0.5000

Computed properties:
Symmetry: P4/mmm (123)
N(E_F) in states/eV/f.u.: 1.40
E_tot in eV per atom: -2.625

=====

8.
CaZrPd2S: relaxed, PBE-GGA.

a b c (Å): 4.6290 4.6290 4.9826
angles (deg): 90.00 90.00 90.00
Positions (direct):
Ca1 0.0000 0.0000 0.0000
Zr1 0.5000 0.5000 0.0000
Pd1 0.0000 0.5000 0.5000
Pd2 0.5000 0.0000 0.5000
S1 0.0000 0.0000 0.5000

Computed properties:
Symmetry: P4/mmm (123)
N(E_F) in states/eV/f.u.: 5.62
E_tot in eV per atom: -5.090